The following is a GGA-PBE calculation of crystalline BaTaRu3 at its relaxed geometry, from Alexandria via LeMat-Bulk.

```
5
Lattice="-3.820 -2.779 -1.265 2.998 -3.798 -0.707 -0.581 -1.328 4.670" Properties=species:S:1:pos:R:3 pbc="T T T"
Ru -0.290 -0.664 2.335
Ru -1.910 -1.390 -0.633
Ru 1.499 -1.899 -0.354
Ta 0.000 0.000 0.000
Ba -0.701 -3.953 1.349
```

Properties
- Formation energy from the elements: 0.897 eV per atom
- Final energy: -7.4234 eV per atom
- Crystal system: cubic

---

The following is a GGA-PBE calculation of crystalline BaTaRu2 at its relaxed geometry, from Alexandria via LeMat-Bulk.

```
4
Lattice="-0.682 -0.722 -2.908 3.588 0.515 -0.969 1.485 -7.502 1.513" Properties=species:S:1:pos:R:3 pbc="T T T"
Ru 0.126 -0.636 0.128
Ta 0.585 -2.956 0.596
Ba 2.599 -5.895 -0.771
Ru 1.823 -1.974 -1.561
```

Properties
- Formation energy from the elements: 0.522 eV per atom
- Final energy: -7.5602 eV per atom
- Crystal system: orthorhombic

---

The following is a GGA-PBE calculation of crystalline BaTaRu2 at its relaxed geometry, from Alexandria via LeMat-Bulk.

```
4
Lattice="-1.705 2.650 0.486 -6.092 -3.767 -0.829 -3.610 -2.873 3.003" Properties=species:S:1:pos:R:3 pbc="T T T"
Ba -1.805 -1.436 1.502
Ru -3.898 -0.559 -0.172
Ru 0.000 0.000 0.000
Ta -5.704 -1.995 1.330
```

Properties
- Formation energy from the elements: 0.985 eV per atom
- Final energy: -7.0966 eV per atom
- Crystal system: orthorhombic

---

The following is a GGA-PBE calculation of crystalline BaTaRu2 at its relaxed geometry, from Alexandria via LeMat-Bulk.

```
4
Lattice="5.879 0.010 0.000 3.247 4.901 0.000 -4.563 -2.455 2.777" Properties=species:S:1:pos:R:3 pbc="T T T"
Ta 4.563 2.455 0.000
Ba 2.939 0.005 1.388
Ru 0.000 0.000 0.000
Ru 1.623 2.450 1.388
```

Properties
- Formation energy from the elements: 1.074 eV per atom
- Final energy: -7.0079 eV per atom
- Crystal system: tetragonal

---

The following is a GGA-PBE calculation of crystalline BaTaRu2 at its relaxed geometry, from Alexandria via LeMat-Bulk.

```
4
Lattice="9.202 -0.030 -0.018 8.637 3.175 -0.018 8.637 1.523 2.786" Properties=species:S:1:pos:R:3 pbc="T T T"
Ru 26.042 4.591 2.705
Ru 13.673 2.410 1.420
Ta 6.619 1.167 0.688
Ba 19.857 3.500 2.063
```

Properties
- Formation energy from the elements: 0.453 eV per atom
- Final energy: -7.6283 eV per atom
- Crystal system: trigonal

---

The following is a GGA-PBE calculation of crystalline BaTaRu2W at its relaxed geometry, from Alexandria via LeMat-Bulk.

```
5
Lattice="-2.011 -4.229 0.513 1.230 -1.215 -5.197 4.127 -1.793 1.396" Properties=species:S:1:pos:R:3 pbc="T T T"
Ba 0.615 -0.608 -2.599
W 1.673 -3.619 -1.644
Ta 0.000 0.000 0.000
Ru -1.005 -2.115 0.257
Ru 2.063 -0.896 0.698
```

Properties
- Formation energy from the elements: 2.228 eV per atom
- Final energy: -6.8285 eV per atom
- Crystal system: tetragonal